No. 1
Compound: GeBi3F
Source: Alexandria
Functional: GGA-PBEsol
Structure: optimized geometry

abc: 5.005 5.005 5.005
angles: 90.00 90.00 90.00
Space group Pm-3m (No. 221)
Asymmetric unit:
1 Ge 0.000 0.000 0.000 x1
2 Bi 0.000 0.500 0.500 x3
3 F 0.500 0.500 0.500 x1

E_tot = -20.5 eV for the cell shown
total magnetic moment = 0.00 μB/f.u.


No. 2
Compound: SnOs2S
Source: Alexandria
Functional: GGA-PBEsol
Structure: optimized geometry

abc: 6.243 6.243 6.243
angles: 90.00 90.00 90.00
Space group Fm-3m (No. 225)
Asymmetric unit:
1 Sn 0.000 0.000 0.000 x4
2 Os 0.250 0.250 0.250 x8
3 S 0.000 0.000 0.500 x4

E_tot = -120.8 eV for the cell shown
total magnetic moment = 0.00 μB/f.u.


No. 3
Compound: CaBr
Source: Alexandria
Functional: GGA-PBEsol
Structure: optimized geometry

abc: 4.148 4.148 14.385
angles: 90.00 90.00 90.00
Space group I4_1/amd (No. 141, origin choice 2)
Asymmetric unit:
1 Ca 0.000 0.250 0.375 x4
2 Br 0.000 0.250 0.875 x4

E_tot = -25.3 eV for the cell shown
total magnetic moment = 0.44 μB/f.u.